(1)
# SrLi5Mg

A relaxed structure of SrLi5Mg (GGA-PBE, the Alexandria database).

## Properties
SG   C2/m
Crystal system   monoclinic
N(E_F)   5.3 states/eV/f.u.
V   187.5 Å³ per cell

The structure in CIF format:
```
data_SrLi5Mg
_chemical_formula_sum 'Sr1 Li5 Mg1'
_space_group_name_H-M_alt 'P 1'
_space_group_IT_number 1
_cell_length_a 5.9166
_cell_length_b 5.9166
_cell_length_c 6.8722
_cell_angle_alpha 101.54
_cell_angle_beta 101.54
_cell_angle_gamma 121.36
loop_
_space_group_symop_operation_xyz
'x,y,z'
loop_
_atom_site_label
_atom_site_type_symbol
_atom_site_fract_x
_atom_site_fract_y
_atom_site_fract_z
_atom_site_occupancy
Sr1 Sr 0.0000 0.0000 0.0000 1
Li1 Li 0.0000 0.0000 0.5000 1
Li2 Li 0.1292 0.5492 0.7233 1
Li3 Li 0.4508 0.8708 0.2767 1
Li4 Li 0.5492 0.1292 0.7233 1
Li5 Li 0.8708 0.4508 0.2767 1
Mg1 Mg 0.5000 0.5000 0.5000 1
```

(2)
# SrLi5Mg

A relaxed structure of SrLi5Mg (GGA-PBE, the Alexandria database).

## Properties
SG   P4/mmm
Crystal system   tetragonal
N(E_F)   4.3 states/eV/f.u.
V   182.6 Å³ per cell

The structure in CIF format:
```
data_SrLi5Mg
_chemical_formula_sum 'Sr1 Li5 Mg1'
_space_group_name_H-M_alt 'P 1'
_space_group_IT_number 1
_cell_length_a 4.1612
_cell_length_b 4.1612
_cell_length_c 10.5445
_cell_angle_alpha 90.00
_cell_angle_beta 90.00
_cell_angle_gamma 90.00
loop_
_space_group_symop_operation_xyz
'x,y,z'
loop_
_atom_site_label
_atom_site_type_symbol
_atom_site_fract_x
_atom_site_fract_y
_atom_site_fract_z
_atom_site_occupancy
Sr1 Sr 0.0000 0.0000 0.0000 1
Li1 Li 0.0000 0.0000 0.5000 1
Li2 Li 0.0000 0.5000 0.2846 1
Li3 Li 0.0000 0.5000 0.7154 1
Li4 Li 0.5000 0.0000 0.2846 1
Li5 Li 0.5000 0.0000 0.7154 1
Mg1 Mg 0.5000 0.5000 0.5000 1
```

(2) (0.035 eV/atom below the next structure)

(1)
# Sr4Li3Mg

A relaxed structure of Sr4Li3Mg (GGA-PBE, the Alexandria database).

## Properties
SG   Pmm2
Crystal system   orthorhombic
N(E_F)   6.7 states/eV/f.u.
V   310.7 Å³ per cell

The structure in CIF format:
```
data_Sr4Li3Mg
_chemical_formula_sum 'Sr4 Li3 Mg1'
_space_group_name_H-M_alt 'P 1'
_space_group_IT_number 1
_cell_length_a 4.4058
_cell_length_b 5.3519
_cell_length_c 13.1781
_cell_angle_alpha 90.00
_cell_angle_beta 90.00
_cell_angle_gamma 90.00
loop_
_space_group_symop_operation_xyz
'x,y,z'
loop_
_atom_site_label
_atom_site_type_symbol
_atom_site_fract_x
_atom_site_fract_y
_atom_site_fract_z
_atom_site_occupancy
Sr1 Sr 0.0000 0.0000 0.0000 1
Sr2 Sr 0.0000 0.5000 0.2975 1
Sr3 Sr 0.5000 0.0000 0.5011 1
Sr4 Sr 0.5000 0.5000 0.7991 1
Li1 Li 0.0000 0.5000 0.5854 1
Li2 Li 0.5000 0.0000 0.2158 1
Li3 Li 0.5000 0.5000 0.0837 1
Mg1 Mg 0.0000 0.0000 0.7167 1
```

(2)
# Sr4Li3Mg

A relaxed structure of Sr4Li3Mg (GGA-PBE, the Alexandria database).

## Properties
SG   P4/mmm
Crystal system   tetragonal
N(E_F)   7.1 states/eV/f.u.
V   300.1 Å³ per cell

The structure in CIF format:
```
data_Sr4Li3Mg
_chemical_formula_sum 'Sr4 Li3 Mg1'
_space_group_name_H-M_alt 'P 1'
_space_group_IT_number 1
_cell_length_a 4.2092
_cell_length_b 4.2092
_cell_length_c 16.9358
_cell_angle_alpha 90.00
_cell_angle_beta 90.00
_cell_angle_gamma 90.00
loop_
_space_group_symop_operation_xyz
'x,y,z'
loop_
_atom_site_label
_atom_site_type_symbol
_atom_site_fract_x
_atom_site_fract_y
_atom_site_fract_z
_atom_site_occupancy
Sr1 Sr 0.0000 0.0000 0.1235 1
Sr2 Sr 0.0000 0.0000 0.3751 1
Sr3 Sr 0.0000 0.0000 0.6249 1
Sr4 Sr 0.0000 0.0000 0.8765 1
Li1 Li 0.5000 0.5000 0.2489 1
Li2 Li 0.5000 0.5000 0.5000 1
Li3 Li 0.5000 0.5000 0.7511 1
Mg1 Mg 0.5000 0.5000 0.0000 1
```

(2) (0.011 eV/atom below the next structure)